Compound: NbRuIO2
Source: Alexandria
Functional: GGA-PBE
Structure: optimized geometry

Cell lengths 3.921, 3.921, 5.827 Å; angles 90.00, 90.00, 90.00 degrees
Space group P4/mmm (No. 123)
Symmetry-distinct sites (fractional):
Nb 0.000 0.000 0.000
Ru 0.500 0.500 0.500
I 0.500 0.500 0.000
O 0.000 0.500 0.500

Compound: NbRuI2O
Source: Alexandria
Functional: GGA-PBE
Structure: optimized geometry

Cell lengths 5.747, 5.747, 3.869 Å; angles 90.00, 90.00, 90.00 degrees
Space group P4/mmm (No. 123)
Symmetry-distinct sites (fractional):
Nb 0.000 0.000 0.000
Ru 0.500 0.500 0.500
I 0.000 0.500 0.000
O 0.000 0.000 0.500

Compound: NbSI2O
Source: Alexandria
Functional: GGA-PBE
Structure: optimized geometry

Cell lengths 5.574, 5.574, 3.576 Å; angles 90.00, 90.00, 90.00 degrees
Space group P4/mmm (No. 123)
Symmetry-distinct sites (fractional):
Nb 0.000 0.000 0.000
S 0.500 0.500 0.500
I 0.000 0.500 0.500
O 0.500 0.500 0.000

Compound: NbSIO2
Source: Alexandria
Functional: GGA-PBE
Structure: optimized geometry

Cell lengths 3.911, 3.911, 5.503 Å; angles 90.00, 90.00, 90.00 degrees
Space group P4/mmm (No. 123)
Symmetry-distinct sites (fractional):
Nb 0.000 0.000 0.000
S 0.500 0.500 0.500
I 0.500 0.500 0.000
O 0.000 0.500 0.500

Compound: NbSIO2
Source: Alexandria
Functional: GGA-PBE
Structure: optimized geometry

Cell lengths 3.943, 3.943, 6.178 Å; angles 90.00, 90.00, 90.00 degrees
Space group P4/mmm (No. 123)
Symmetry-distinct sites (fractional):
Nb 0.000 0.000 0.000
S 0.500 0.500 0.500
I 0.000 0.000 0.500
O 0.000 0.500 0.000

Compound: Nb2SIO
Source: Alexandria
Functional: GGA-PBE
Structure: optimized geometry

Cell lengths 5.242, 5.242, 4.022 Å; angles 90.00, 90.00, 90.00 degrees
Space group P4/mmm (No. 123)
Symmetry-distinct sites (fractional):
Nb 0.000 0.500 0.000
S 0.000 0.000 0.500
I 0.500 0.500 0.000
O 0.500 0.500 0.500

| no. | uncorrected formation energy (meV per atom) |
| --- | --- |
| 1 | 272 |
| 2 | 156 |
| 3 | 590 |
| 4 | 647 |
| 5 | -987 |
| 6 | 1139 |